Here is a relaxed LiPb2O4 crystal from Alexandria. Energies are from PBE.

abc: 3.794 3.794 11.894
angles: 90.00 90.00 90.00
Space group I4/mmm (No. 139)
Unique sites:
Li1 0.000 0.000 0.000 x2
Pb1 0.000 0.000 0.368 x4
O1 0.000 0.000 0.188 x4
O2 0.000 0.500 0.000 x4

Output
The value obtained for the volume is 12.23 Å³/atom. The value obtained for the total magnetic moment is 0.000 μB per atom. The energy comes out at -5.0390 eV per atom. The calculation puts the uncorrected formation energy at -6.11 eV/f.u. As for the energy above the lowest structure with this stoichiometry: 1.80 eV per formula unit. The density of states at the Fermi level is 0.814 states/eV/cell.

---

Here is a relaxed LiPbO2 crystal from Alexandria. Energies are from PBE.

abc: 3.017 3.017 5.794
angles: 90.00 90.00 90.00
Space group P4/mmm (No. 123)
Unique sites:
Li1 0.000 0.000 0.000 x1
Pb1 0.000 0.000 0.500 x1
O1 0.500 0.500 0.259 x2

Output
The value obtained for the volume is 13.19 Å³/atom. The value obtained for the total magnetic moment is 0.000 μB per atom. The energy comes out at -4.6349 eV per atom. The calculation puts the uncorrected formation energy at -3.00 eV/f.u. The density of states at the Fermi level is 1.271 states/eV/cell.

---

Here is a relaxed LiPdPbO4 crystal from Alexandria. Energies are from PBE.

abc: 6.163 6.579 9.389
angles: 90.00 90.00 90.00
Space group Imma (No. 74)
Unique sites:
Li1 0.000 0.250 0.123 x4
Pd1 0.250 0.250 0.750 x4
Pb1 0.000 0.000 0.500 x4
O1 0.000 0.038 0.739 x8
O2 0.240 0.250 0.502 x8

Output
The value obtained for the volume is 13.59 Å³/atom. The value obtained for the total magnetic moment is 0.140 μB per atom. The energy comes out at -5.2859 eV per atom. The calculation puts the uncorrected formation energy at -6.35 eV/f.u. The density of states at the Fermi level is 3.684 states/eV/cell.